1.
Density functional theory data (PBE) for a relaxed Li3HfZn crystal.

Results
M_tot   0.00 μB per formula unit
VASP energy   -2.83 eV/atom
Energy relative to the lowest polymorph listed for this composition   0.000 eV per atom
Formation enthalpy at 0 K   54 kJ/mol of atoms
Crystal system   cubic

The structure in CIF format:
```
data_Li3HfZn
_symmetry_space_group_name_H-M 'P m -3 m'
_symmetry_Int_Tables_number 221
_symmetry_space_group_name_Hall '-P 4 2 3'
_cell_length_a 4.489
_cell_length_b 4.489
_cell_length_c 4.489
_cell_angle_alpha 90.00
_cell_angle_beta 90.00
_cell_angle_gamma 90.00
loop_
_atom_site_label
_atom_site_fract_x
_atom_site_fract_y
_atom_site_fract_z
Li1 0.000 0.000 0.500
Hf1 0.500 0.500 0.500
Zn1 0.000 0.000 0.000
```

---

2.
Density functional theory data (PBE) for a relaxed Pm2Tl3CuSe6 crystal.

Results
M_tot   0.00 μB per formula unit
Raw formation energy   -0.883 eV per atom
VASP energy   -4.35 eV/atom
Crystal system   monoclinic

The structure in CIF format:
```
data_Pm2Tl3CuSe6
_symmetry_space_group_name_H-M 'C 1 2/m 1'
_symmetry_Int_Tables_number 12
_cell_length_a 7.381
_cell_length_b 12.358
_cell_length_c 8.039
_cell_angle_alpha 90.00
_cell_angle_beta 111.17
_cell_angle_gamma 90.00
loop_
_symmetry_equiv_pos_as_xyz
'x,y,z'
'-x,-y,-z'
'-x,y,-z'
'x,-y,z'
'x+1/2,y+1/2,z'
'-x+1/2,-y+1/2,-z'
'-x+1/2,y+1/2,-z'
'x+1/2,-y+1/2,z'
loop_
_atom_site_label
_atom_site_fract_x
_atom_site_fract_y
_atom_site_fract_z
Pm1 0.000 0.162 0.000
Tl1 0.000 0.000 0.500
Tl2 0.000 0.319 0.500
Cu1 0.000 0.500 0.000
Se1 0.213 0.353 0.189
Se2 0.239 0.000 0.248
```

---

3.
Density functional theory data (PBE) for a relaxed RbSbPbS3 crystal.

Results
M_tot   0.00 μB per formula unit
Raw formation energy   -0.570 eV per atom
VASP energy   -4.10 eV/atom
Crystal system   monoclinic

The structure in CIF format:
```
data_RbSbPbS3
_symmetry_space_group_name_H-M 'C 1 2/m 1'
_symmetry_Int_Tables_number 12
_cell_length_a 19.517
_cell_length_b 4.075
_cell_length_c 10.103
_cell_angle_alpha 90.00
_cell_angle_beta 108.80
_cell_angle_gamma 90.00
loop_
_symmetry_equiv_pos_as_xyz
'x,y,z'
'-x,-y,-z'
'-x,y,-z'
'x,-y,z'
'x+1/2,y+1/2,z'
'-x+1/2,-y+1/2,-z'
'-x+1/2,y+1/2,-z'
'x+1/2,-y+1/2,z'
loop_
_atom_site_label
_atom_site_fract_x
_atom_site_fract_y
_atom_site_fract_z
Rb1 0.159 0.000 0.069
Sb1 0.027 0.500 0.695
Pb1 0.165 0.000 0.515
S1 0.005 0.000 0.179
S2 0.155 0.500 0.785
S3 0.191 0.500 0.346
```

---

4.
Density functional theory data (PBE) for a relaxed KUClO3 crystal.

Results
M_tot   0.00 μB per formula unit
Raw formation energy   -2.696 eV per atom
VASP energy   -7.55 eV/atom
Crystal system   monoclinic

The structure in CIF format:
```
data_KUClO3
_symmetry_space_group_name_H-M 'P 1 21/m 1'
_symmetry_Int_Tables_number 11
_cell_length_a 7.132
_cell_length_b 4.111
_cell_length_c 9.270
_cell_angle_alpha 90.00
_cell_angle_beta 108.39
_cell_angle_gamma 90.00
loop_
_symmetry_equiv_pos_as_xyz
'x,y,z'
'-x,-y,-z'
'-x,y+1/2,-z'
'x,-y+1/2,z'
loop_
_atom_site_label
_atom_site_fract_x
_atom_site_fract_y
_atom_site_fract_z
K1 0.135 0.250 0.277
U1 0.402 0.250 0.824
Cl1 0.260 0.750 0.580
O1 0.147 0.250 0.835
O2 0.357 0.750 0.211
O3 0.455 0.750 0.916
```

---

5.
Density functional theory data (PBE) for a relaxed Pr4CuCI2 crystal.

Results
M_tot   0.00 μB per formula unit
Raw formation energy   -0.548 eV per atom
VASP energy   -4.99 eV/atom
Crystal system   monoclinic

The structure in CIF format:
```
data_Pr4CuCI2
_symmetry_space_group_name_H-M 'P 1 2/m 1'
_symmetry_Int_Tables_number 10
_cell_length_a 7.305
_cell_length_b 4.029
_cell_length_c 8.169
_cell_angle_alpha 90.00
_cell_angle_beta 106.32
_cell_angle_gamma 90.00
loop_
_symmetry_equiv_pos_as_xyz
'x,y,z'
'-x,-y,-z'
'-x,y,-z'
'x,-y,z'
loop_
_atom_site_label
_atom_site_fract_x
_atom_site_fract_y
_atom_site_fract_z
Pr1 0.199 0.000 0.179
Pr2 0.244 0.500 0.814
Cu1 0.500 0.000 0.000
C1 0.000 0.500 0.000
I1 0.000 0.000 0.500
I2 0.500 0.500 0.500
```

---

6.
Density functional theory data (PBE) for a relaxed NbCdO3 crystal.

Results
M_tot   0.00 μB per formula unit
Raw formation energy   -1.788 eV per atom
VASP energy   -6.96 eV/atom
Crystal system   cubic

The structure in CIF format:
```
data_NbCdO3
_symmetry_space_group_name_H-M 'P m -3 m'
_symmetry_Int_Tables_number 221
_symmetry_space_group_name_Hall '-P 4 2 3'
_cell_length_a 4.017
_cell_length_b 4.017
_cell_length_c 4.017
_cell_angle_alpha 90.00
_cell_angle_beta 90.00
_cell_angle_gamma 90.00
loop_
_atom_site_label
_atom_site_fract_x
_atom_site_fract_y
_atom_site_fract_z
Nb1 0.000 0.000 0.000
Cd1 0.500 0.500 0.500
O1 0.000 0.000 0.500
```

---

7.
Density functional theory data (PBE) for a relaxed TcPbN3 crystal.

Results
M_tot   0.00 μB per formula unit
Raw formation energy   0.673 eV per atom
VASP energy   -7.14 eV/atom
Crystal system   cubic

The structure in CIF format:
```
data_TcPbN3
_symmetry_space_group_name_H-M 'P m -3 m'
_symmetry_Int_Tables_number 221
_symmetry_space_group_name_Hall '-P 4 2 3'
_cell_length_a 3.975
_cell_length_b 3.975
_cell_length_c 3.975
_cell_angle_alpha 90.00
_cell_angle_beta 90.00
_cell_angle_gamma 90.00
loop_
_atom_site_label
_atom_site_fract_x
_atom_site_fract_y
_atom_site_fract_z
Tc1 0.000 0.000 0.000
Pb1 0.500 0.500 0.500
N1 0.000 0.000 0.500
```

---

8.
Density functional theory data (PBE) for a relaxed Ta3Nb4Rh crystal.

Results
M_tot   0.00 μB per formula unit
VASP energy   -10.53 eV/atom
Energy relative to the lowest polymorph listed for this composition   0.000 eV per atom
Formation enthalpy at 0 K   -13 kJ/mol of atoms
Crystal system   tetragonal

The structure in CIF format:
```
data_Ta3Nb4Rh
_symmetry_space_group_name_H-M 'P 4/m m m'
_symmetry_Int_Tables_number 123
_symmetry_space_group_name_Hall '-P 4 2'
_cell_length_a 3.291
_cell_length_b 3.291
_cell_length_c 13.112
_cell_angle_alpha 90.00
_cell_angle_beta 90.00
_cell_angle_gamma 90.00
loop_
_atom_site_label
_atom_site_fract_x
_atom_site_fract_y
_atom_site_fract_z
Ta1 0.000 0.000 0.000
Ta2 0.000 0.000 0.254
Nb1 0.500 0.500 0.129
Nb2 0.500 0.500 0.380
Rh1 0.000 0.000 0.500
```

---

9.
Density functional theory data (PBE) for a relaxed BaSc2Rh crystal.

Results
M_tot   0.00 μB per formula unit
VASP energy   -5.23 eV/atom
Formation enthalpy at 0 K   25 kJ/mol of atoms
Crystal system   tetragonal

The structure in CIF format:
```
data_BaSc2Rh
_symmetry_space_group_name_H-M 'P 4/m m m'
_symmetry_Int_Tables_number 123
_symmetry_space_group_name_Hall '-P 4 2'
_cell_length_a 4.901
_cell_length_b 4.901
_cell_length_c 3.958
_cell_angle_alpha 90.00
_cell_angle_beta 90.00
_cell_angle_gamma 90.00
loop_
_atom_site_label
_atom_site_fract_x
_atom_site_fract_y
_atom_site_fract_z
Ba1 0.000 0.000 0.000
Sc1 0.000 0.500 0.500
Rh1 0.500 0.500 0.000
```

---

10.
Density functional theory data (PBE) for a relaxed LaCu3Ru4O12 crystal.

Results
M_tot   3.43 μB per formula unit
Raw formation energy   -1.145 eV per atom
VASP energy   -6.84 eV/atom
Crystal system   cubic

The structure in CIF format:
```
data_LaCu3Ru4O12
_symmetry_space_group_name_H-M 'I m -3'
_symmetry_Int_Tables_number 204
_symmetry_space_group_name_Hall '-I 2 2 3'
_cell_length_a 7.543
_cell_length_b 7.543
_cell_length_c 7.543
_cell_angle_alpha 90.00
_cell_angle_beta 90.00
_cell_angle_gamma 90.00
loop_
_atom_site_label
_atom_site_fract_x
_atom_site_fract_y
_atom_site_fract_z
La1 0.000 0.000 0.000
Cu1 0.000 0.000 0.500
Ru1 0.250 0.250 0.250
O1 0.000 0.307 0.171
```

---

11.
Density functional theory data (PBE) for a relaxed YErAlHg crystal.

Results
M_tot   0.00 μB per formula unit
VASP energy   -4.18 eV/atom
Energy relative to the lowest polymorph listed for this composition   0.032 eV per atom
Formation enthalpy at 0 K   -40 kJ/mol of atoms
Crystal system   cubic

The structure in CIF format:
```
data_YErAlHg
_symmetry_space_group_name_H-M 'F -4 3 m'
_symmetry_Int_Tables_number 216
_symmetry_space_group_name_Hall 'F -4 2 3'
_cell_length_a 7.336
_cell_length_b 7.336
_cell_length_c 7.336
_cell_angle_alpha 90.00
_cell_angle_beta 90.00
_cell_angle_gamma 90.00
loop_
_atom_site_label
_atom_site_fract_x
_atom_site_fract_y
_atom_site_fract_z
Y1 0.000 0.000 0.000
Er1 0.000 0.000 0.500
Al1 0.250 0.250 0.250
Hg1 0.250 0.250 0.750
```

---

12.
Density functional theory data (PBE) for a relaxed Ac2ZnSi crystal.

Results
M_tot   0.00 μB per formula unit
Raw formation energy   -0.323 eV per atom
VASP energy   -4.05 eV/atom
Energy relative to the lowest polymorph listed for this composition   0.103 eV per atom
Crystal system   tetragonal

The structure in CIF format:
```
data_Ac2ZnSi
_symmetry_space_group_name_H-M 'P 4/m m m'
_symmetry_Int_Tables_number 123
_symmetry_space_group_name_Hall '-P 4 2'
_cell_length_a 5.369
_cell_length_b 5.369
_cell_length_c 4.035
_cell_angle_alpha 90.00
_cell_angle_beta 90.00
_cell_angle_gamma 90.00
loop_
_atom_site_label
_atom_site_fract_x
_atom_site_fract_y
_atom_site_fract_z
Ac1 0.000 0.500 0.000
Zn1 0.000 0.000 0.500
Si1 0.500 0.500 0.500
```

---

M_tot of number 4 (KUClO3)?
0.00 μB per formula unit

---

What did the seventh record say?
Density functional theory data (PBE) for a relaxed TcPbN3 crystal.

Results
M_tot   0.00 μB per formula unit
Raw formation energy   0.673 eV per atom
VASP energy   -7.14 eV/atom
Crystal system   cubic

The structure in CIF format:
```
data_TcPbN3
_symmetry_space_group_name_H-M 'P m -3 m'
_symmetry_Int_Tables_number 221
_symmetry_space_group_name_Hall '-P 4 2 3'
_cell_length_a 3.975
_cell_length_b 3.975
_cell_length_c 3.975
_cell_angle_alpha 90.00
_cell_angle_beta 90.00
_cell_angle_gamma 90.00
loop_
_atom_site_label
_atom_site_fract_x
_atom_site_fract_y
_atom_site_fract_z
Tc1 0.000 0.000 0.000
Pb1 0.500 0.500 0.500
N1 0.000 0.000 0.500
```

---

Repeat the twelfth record exactly.
Density functional theory data (PBE) for a relaxed Ac2ZnSi crystal.

Results
M_tot   0.00 μB per formula unit
Raw formation energy   -0.323 eV per atom
VASP energy   -4.05 eV/atom
Energy relative to the lowest polymorph listed for this composition   0.103 eV per atom
Crystal system   tetragonal

The structure in CIF format:
```
data_Ac2ZnSi
_symmetry_space_group_name_H-M 'P 4/m m m'
_symmetry_Int_Tables_number 123
_symmetry_space_group_name_Hall '-P 4 2'
_cell_length_a 5.369
_cell_length_b 5.369
_cell_length_c 4.035
_cell_angle_alpha 90.00
_cell_angle_beta 90.00
_cell_angle_gamma 90.00
loop_
_atom_site_label
_atom_site_fract_x
_atom_site_fract_y
_atom_site_fract_z
Ac1 0.000 0.500 0.000
Zn1 0.000 0.000 0.500
Si1 0.500 0.500 0.500
```

---

Look up the VASP energy of the second one.
-4.35 eV/atom